Model 1:
This record from Alexandria describes crystalline TbPmHoMg at its relaxed geometry. The functional is GGA-PBE.

a = 5.542 Å, b = 5.542 Å, c = 5.542 Å
α = 60.00°, β = 60.00°, γ = 60.00°
Positions (direct):
Mg1 0.000 0.000 0.000
Ho1 0.500 0.500 0.500
Tb1 0.250 0.250 0.250
Pm1 0.750 0.750 0.750

## Properties
Fermi-level density of states = 5.076 states/eV/cell

Model 2:
This record from Alexandria describes crystalline TbPmHoMg at its relaxed geometry. The functional is GGA-PBE.

a = 3.634 Å, b = 3.634 Å, c = 9.137 Å
α = 90.00°, β = 90.00°, γ = 90.00°
Positions (direct):
Ho1 0.500 0.500 0.343
Pm1 0.000 0.000 0.073
Mg1 0.000 0.000 0.569
Tb1 0.500 0.500 0.800

## Properties
Fermi-level density of states = 4.436 states/eV/cell

The data favor model 2; the next most stable structure lies 0.063 eV/atom above it.

Model 1:
This record from Alexandria describes crystalline PmHoThMg at its relaxed geometry. The functional is GGA-PBE.

a = 3.605 Å, b = 3.605 Å, c = 9.274 Å
α = 90.00°, β = 90.00°, γ = 90.00°
Positions (direct):
Ho1 0.000 0.000 0.561
Th1 0.500 0.500 0.816
Mg1 0.500 0.500 0.328
Pm1 0.000 0.000 0.080

## Properties
Fermi-level density of states = 3.981 states/eV/cell

Model 2:
This record from Alexandria describes crystalline PmHoThMg at its relaxed geometry. The functional is GGA-PBE.

a = 5.558 Å, b = 5.558 Å, c = 5.558 Å
α = 60.00°, β = 60.00°, γ = 60.00°
Positions (direct):
Ho1 0.250 0.250 0.250
Pm1 0.750 0.750 0.750
Th1 0.500 0.500 0.500
Mg1 0.000 0.000 0.000

## Properties
Fermi-level density of states = 7.360 states/eV/cell

The data favor model 1; the next most stable structure lies 0.206 eV/atom above it.

Model 1:
This record from Alexandria describes crystalline PmYHoMg at its relaxed geometry. The functional is GGA-PBE.

a = 3.647 Å, b = 3.647 Å, c = 9.094 Å
α = 90.00°, β = 90.00°, γ = 90.00°
Positions (direct):
Mg1 0.000 0.000 0.569
Pm1 0.000 0.000 0.074
Ho1 0.500 0.500 0.344
Y1 0.500 0.500 0.798

## Properties
Fermi-level density of states = 4.872 states/eV/cell

Model 2:
This record from Alexandria describes crystalline PmYHoMg at its relaxed geometry. The functional is GGA-PBE.

a = 5.547 Å, b = 5.547 Å, c = 5.547 Å
α = 60.00°, β = 60.00°, γ = 60.00°
Positions (direct):
Mg1 0.250 0.250 0.250
Y1 0.500 0.500 0.500
Ho1 0.750 0.750 0.750
Pm1 0.000 0.000 0.000

## Properties
Fermi-level density of states = 5.456 states/eV/cell

The data favor model 1; the next most stable structure lies 0.068 eV/atom above it.

Model 1:
This record from Alexandria describes crystalline Pr2HoMg at its relaxed geometry. The functional is GGA-PBE.

a = 3.585 Å, b = 3.504 Å, c = 10.498 Å
α = 99.61°, β = 90.00°, γ = 90.00°
Positions (direct):
Mg1 0.000 0.071 0.142
Pr1 0.500 0.457 0.914
Pr2 0.500 0.687 0.374
Ho1 0.000 0.310 0.620

## Properties
Fermi-level density of states = 6.070 states/eV/cell

Model 2:
This record from Alexandria describes crystalline Pr2HoMg at its relaxed geometry. The functional is GGA-PBE.

a = 3.750 Å, b = 3.750 Å, c = 9.078 Å
α = 90.00°, β = 90.00°, γ = 90.00°
Positions (direct):
Pr1 0.000 0.000 0.232
Pr2 0.000 0.000 0.768
Mg1 0.500 0.500 0.000
Ho1 0.500 0.500 0.500

## Properties
Fermi-level density of states = 4.845 states/eV/cell

Model 3:
This record from Alexandria describes crystalline Pr2HoMg at its relaxed geometry. The functional is GGA-PBE.

a = 3.522 Å, b = 3.522 Å, c = 12.722 Å
α = 82.04°, β = 82.04°, γ = 60.00°
Positions (direct):
Pr1 0.911 0.911 0.268
Pr2 0.089 0.089 0.732
Ho1 0.500 0.500 0.500
Mg1 0.000 0.000 0.000

## Properties
Fermi-level density of states = 4.323 states/eV/cell

Model 4:
This record from Alexandria describes crystalline Pr2HoMg at its relaxed geometry. The functional is GGA-PBE.

a = 5.635 Å, b = 5.635 Å, c = 5.635 Å
α = 60.00°, β = 60.00°, γ = 60.00°
Positions (direct):
Pr1 0.250 0.250 0.250
Pr2 0.750 0.750 0.750
Ho1 0.500 0.500 0.500
Mg1 0.000 0.000 0.000

## Properties
Fermi-level density of states = 4.410 states/eV/cell

The data favor model 2; the next most stable structure lies 0.044 eV/atom above it.

Model 1:
This record from Alexandria describes crystalline Pr5Ho2Mg at its relaxed geometry. The functional is GGA-PBE.

a = 7.255 Å, b = 7.255 Å, c = 7.186 Å
α = 120.30°, β = 120.30°, γ = 90.01°
Positions (direct):
Mg1 0.222 0.222 0.444
Pr1 0.722 0.722 0.944
Pr2 0.222 0.222 0.944
Pr3 0.222 0.722 0.944
Pr4 0.722 0.222 0.944
Pr5 0.722 0.722 0.445
Ho1 0.722 0.222 0.444
Ho2 0.222 0.722 0.444

## Properties
Fermi-level density of states = 7.790 states/eV/cell

Model 2:
This record from Alexandria describes crystalline Pr5Ho2Mg at its relaxed geometry. The functional is GGA-PBE.

a = 7.314 Å, b = 7.318 Å, c = 6.840 Å
α = 105.57°, β = 105.54°, γ = 119.90°
Positions (direct):
Pr1 0.736 0.819 0.499
Pr2 0.807 0.229 0.000
Pr3 0.237 0.319 0.501
Pr4 0.327 0.750 0.000
Pr5 0.327 0.229 0.000
Mg1 0.822 0.734 0.000
Ho1 0.741 0.330 0.515
Ho2 0.226 0.814 0.484

## Properties
Fermi-level density of states = 10.007 states/eV/cell

The data favor model 2; the next most stable structure lies 0.006 eV/atom above it.

Model 1:
This record from Alexandria describes crystalline Pr2Ho8Mg at its relaxed geometry. The functional is GGA-PBE.

a = 5.509 Å, b = 7.736 Å, c = 9.567 Å
α = 113.85°, β = 106.73°, γ = 90.00°
Positions (direct):
Pr1 0.804 0.304 0.607
Pr2 0.196 0.696 0.393
Ho1 0.635 0.414 0.269
Ho2 0.828 0.828 0.655
Ho3 0.000 0.272 0.000
Ho4 0.172 0.172 0.345
Ho5 0.365 0.586 0.731
Ho6 0.365 0.145 0.731
Ho7 0.000 0.728 0.000
Ho8 0.635 0.855 0.269
Mg1 0.500 0.000 0.000

## Properties
Fermi-level density of states = 17.788 states/eV/cell

Model 2:
This record from Alexandria describes crystalline Pr2Ho8Mg at its relaxed geometry. The functional is GGA-PBE.

a = 6.673 Å, b = 9.987 Å, c = 9.987 Å
α = 38.69°, β = 59.87°, γ = 59.87°
Positions (direct):
Ho1 0.270 0.407 0.407
Ho2 0.178 0.754 0.754
Ho3 0.775 0.179 0.658
Ho4 0.775 0.658 0.179
Ho5 0.822 0.246 0.246
Ho6 0.730 0.593 0.593
Ho7 0.225 0.821 0.342
Ho8 0.225 0.342 0.821
Mg1 0.000 0.000 0.000
Pr1 0.421 0.186 0.186
Pr2 0.579 0.814 0.814

## Properties
Fermi-level density of states = 15.526 states/eV/cell

The data favor model 1; the next most stable structure lies 0.023 eV/atom above it.

Model 1:
This record from Alexandria describes crystalline PrHoMg at its relaxed geometry. The functional is GGA-PBE.

a = 3.445 Å, b = 5.515 Å, c = 5.515 Å
α = 120.00°, β = 90.00°, γ = 90.00°
Positions (direct):
Ho1 0.061 0.000 0.000
Pr1 0.626 0.667 0.333
Mg1 0.313 0.333 0.667

## Properties
Fermi-level density of states = 3.934 states/eV/cell

Model 2:
This record from Alexandria describes crystalline PrHoMg at its relaxed geometry. The functional is GGA-PBE.

a = 5.306 Å, b = 5.282 Å, c = 6.998 Å
α = 112.16°, β = 90.00°, γ = 90.00°
Positions (direct):
Mg1 0.250 0.750 0.000
Mg2 0.750 0.250 0.000
Pr1 0.750 0.590 0.681
Pr2 0.250 0.410 0.319
Ho1 0.250 0.093 0.686
Ho2 0.750 0.907 0.314

## Properties
Fermi-level density of states = 7.814 states/eV/cell

The data favor model 2; the next most stable structure lies 0.090 eV/atom above it.

Model 1:
This record from Alexandria describes crystalline PrHoMg at its relaxed geometry. The functional is GGA-PBE.

a = 3.750 Å, b = 3.750 Å, c = 6.994 Å
α = 105.55°, β = 105.55°, γ = 90.00°
Positions (direct):
Ho1 0.012 0.012 0.023
Pr1 0.327 0.327 0.653
Mg1 0.662 0.662 0.324

## Properties
Fermi-level density of states = 4.473 states/eV/cell

Model 2:
This record from Alexandria describes crystalline PrHoMg at its relaxed geometry. The functional is GGA-PBE.

a = 5.589 Å, b = 3.827 Å, c = 9.680 Å
α = 66.71°, β = 74.68°, γ = 89.98°
Positions (direct):
Pr1 0.496 0.433 0.623
Pr2 0.957 0.851 0.706
Mg1 0.808 0.023 0.033
Mg2 0.647 0.262 0.295
Ho1 0.129 0.718 0.338
Ho2 0.324 0.565 0.990

## Properties
Fermi-level density of states = 6.978 states/eV/cell

Model 3:
This record from Alexandria describes crystalline PrHoMg at its relaxed geometry. The functional is GGA-PBE.

a = 4.704 Å, b = 4.704 Å, c = 8.499 Å
α = 90.00°, β = 90.00°, γ = 90.00°
Positions (direct):
Pr1 0.500 0.000 0.661
Pr2 0.000 0.500 0.339
Ho1 0.500 0.000 0.253
Ho2 0.000 0.500 0.747
Mg1 0.000 0.000 0.000
Mg2 0.500 0.500 0.000

## Properties
Fermi-level density of states = 9.130 states/eV/cell

The data favor model 1; the next most stable structure lies 0.048 eV/atom above it.